Entry 1:
Crystalline UGaAu at its relaxed geometry, computed with PBE-GGA.

Cell and atoms, written as CIF:
```
data_UGaAu
_cell_length_a 3.1062
_cell_length_b 3.1062
_cell_length_c 12.2720
_cell_angle_alpha 90.00
_cell_angle_beta 90.00
_cell_angle_gamma 90.00
_symmetry_space_group_name_H-M 'I 4 m m'
_symmetry_Int_Tables_number 107
_symmetry_space_group_name_Hall 'I 4 -2'
loop_
_atom_site_label
_atom_site_type_symbol
_atom_site_fract_x
_atom_site_fract_y
_atom_site_fract_z
_atom_site_occupancy
U1 U 0.0000 0.0000 0.0000 1
Ga1 Ga 0.0000 0.0000 0.3227 1
Au1 Au 0.0000 0.0000 0.6847 1
```

Calculated values
magnetic moment = 5.3 μB/cell
DFT formation energy = -0.120 eV/atom

Entry 2:
Crystalline UGaAu at its relaxed geometry, computed with PBE-GGA.

Cell and atoms, written as CIF:
```
data_UGaAu
_cell_length_a 5.6177
_cell_length_b 8.0791
_cell_length_c 10.6172
_cell_angle_alpha 90.00
_cell_angle_beta 90.00
_cell_angle_gamma 90.00
_symmetry_space_group_name_H-M 'F m m m'
_symmetry_Int_Tables_number 69
_symmetry_space_group_name_Hall '-F 2 2'
loop_
_atom_site_label
_atom_site_type_symbol
_atom_site_fract_x
_atom_site_fract_y
_atom_site_fract_z
_atom_site_occupancy
U1 U 0.0000 0.1563 0.0000 1
Ga1 Ga 0.2500 0.2500 0.2500 1
Au1 Au 0.0000 0.0000 0.3659 1
```

Calculated values
magnetic moment = 18.5 μB/cell
DFT formation energy = -0.093 eV/atom

Entry 3:
Crystalline UGaAu at its relaxed geometry, computed with PBE-GGA.

Cell and atoms, written as CIF:
```
data_UGaAu
_cell_length_a 4.8672
_cell_length_b 4.8672
_cell_length_c 5.7617
_cell_angle_alpha 90.00
_cell_angle_beta 90.00
_cell_angle_gamma 120.00
_symmetry_space_group_name_H-M 'P 63/m m c'
_symmetry_Int_Tables_number 194
_symmetry_space_group_name_Hall '-P 6c 2c'
loop_
_atom_site_label
_atom_site_type_symbol
_atom_site_fract_x
_atom_site_fract_y
_atom_site_fract_z
_atom_site_occupancy
U1 U 0.0000 0.0000 0.0000 1
Ga1 Ga 0.3333 0.6667 0.2500 1
Au1 Au 0.3333 0.6667 0.7500 1
```

Calculated values
magnetic moment = 6.0 μB/cell
DFT formation energy = -0.307 eV/atom

Entry 4:
Crystalline UGaAu3 at its relaxed geometry, computed with PBE-GGA.

Cell and atoms, written as CIF:
```
data_UGaAu3
_cell_length_a 9.2839
_cell_length_b 8.5362
_cell_length_c 5.7309
_cell_angle_alpha 90.00
_cell_angle_beta 90.00
_cell_angle_gamma 90.00
_symmetry_space_group_name_H-M 'I m a 2'
_symmetry_Int_Tables_number 46
loop_
_symmetry_equiv_pos_as_xyz
'x,y,z'
'-x,-y,z'
'-x+1/2,y,z'
'x+1/2,-y,z'
'x+1/2,y+1/2,z+1/2'
'-x+1/2,-y+1/2,z+1/2'
'-x,y+1/2,z+1/2'
'x,-y+1/2,z+1/2'
loop_
_atom_site_label
_atom_site_type_symbol
_atom_site_fract_x
_atom_site_fract_y
_atom_site_fract_z
_atom_site_occupancy
U1 U 0.2500 0.1073 0.0000 1
Ga1 Ga 0.2500 0.7442 0.8002 1
Au1 Au 0.0025 0.1797 0.6523 1
Au2 Au 0.2500 0.0259 0.4902 1
```

Calculated values
magnetic moment = 10.9 μB/cell
DFT formation energy = 0.040 eV/atom

Entry 5:
Crystalline UGa3Au3 at its relaxed geometry, computed with PBE-GGA.

Cell and atoms, written as CIF:
```
data_UGa3Au3
_cell_length_a 7.0003
_cell_length_b 7.0003
_cell_length_c 7.0003
_cell_angle_alpha 90.00
_cell_angle_beta 90.00
_cell_angle_gamma 90.00
_symmetry_space_group_name_H-M 'P m -3 n'
_symmetry_Int_Tables_number 223
_symmetry_space_group_name_Hall '-P 4n 2 3'
loop_
_atom_site_label
_atom_site_type_symbol
_atom_site_fract_x
_atom_site_fract_y
_atom_site_fract_z
_atom_site_occupancy
U1 U 0.0000 0.0000 0.0000 1
Ga1 Ga 0.0000 0.2500 0.5000 1
Au1 Au 0.0000 0.5000 0.2500 1
```

Calculated values
magnetic moment = 7.1 μB/cell
DFT formation energy = 0.203 eV/atom

Entry 6:
Crystalline UGa4Au2 at its relaxed geometry, computed with PBE-GGA.

Cell and atoms, written as CIF:
```
data_UGa4Au2
_cell_length_a 17.3707
_cell_length_b 4.4722
_cell_length_c 6.8756
_cell_angle_alpha 90.00
_cell_angle_beta 90.00
_cell_angle_gamma 90.00
_symmetry_space_group_name_H-M 'P n m a'
_symmetry_Int_Tables_number 62
loop_
_symmetry_equiv_pos_as_xyz
'x,y,z'
'-x,-y,-z'
'-x+1/2,-y,z+1/2'
'x+1/2,y,-z+1/2'
'x+1/2,-y+1/2,-z+1/2'
'-x+1/2,y+1/2,z+1/2'
'-x,y+1/2,-z'
'x,-y+1/2,z'
loop_
_atom_site_label
_atom_site_type_symbol
_atom_site_fract_x
_atom_site_fract_y
_atom_site_fract_z
_atom_site_occupancy
U1 U 0.1381 0.2500 0.0132 1
Ga1 Ga 0.0386 0.7500 0.8464 1
Ga2 Ga 0.0665 0.2500 0.4700 1
Ga3 Ga 0.1835 0.7500 0.3216 1
Ga4 Ga 0.1867 0.7500 0.7305 1
Au1 Au 0.0329 0.7500 0.2421 1
Au2 Au 0.2155 0.2500 0.5313 1
```

Calculated values
magnetic moment = 10.4 μB/cell
DFT formation energy = -0.233 eV/atom

Entry 7:
Crystalline UGaAu at its relaxed geometry, computed with PBE-GGA.

Cell and atoms, written as CIF:
```
data_UGaAu
_cell_length_a 4.8675
_cell_length_b 5.7489
_cell_length_c 8.4653
_cell_angle_alpha 90.00
_cell_angle_beta 90.00
_cell_angle_gamma 90.00
_symmetry_space_group_name_H-M 'I m m m'
_symmetry_Int_Tables_number 71
_symmetry_space_group_name_Hall '-I 2 2'
loop_
_atom_site_label
_atom_site_type_symbol
_atom_site_fract_x
_atom_site_fract_y
_atom_site_fract_z
_atom_site_occupancy
U1 U 0.0000 0.2458 0.0000 1
Ga1 Ga 0.0000 0.0000 0.3364 1
Au1 Au 0.0000 0.5000 0.3285 1
```

Calculated values
magnetic moment = 12.2 μB/cell
DFT formation energy = -0.307 eV/atom

Entry 8:
Crystalline UZnGa3Au at its relaxed geometry, computed with PBE-GGA.

Cell and atoms, written as CIF:
```
data_UZnGa3Au
_cell_length_a 5.4603
_cell_length_b 15.9236
_cell_length_c 5.5663
_cell_angle_alpha 90.00
_cell_angle_beta 90.00
_cell_angle_gamma 90.00
_symmetry_space_group_name_H-M 'C m c m'
_symmetry_Int_Tables_number 63
_symmetry_space_group_name_Hall '-C 2c 2'
loop_
_atom_site_label
_atom_site_type_symbol
_atom_site_fract_x
_atom_site_fract_y
_atom_site_fract_z
_atom_site_occupancy
U1 U 0.0000 0.1656 0.2500 1
Zn1 Zn 0.0000 0.3596 0.2500 1
Ga1 Ga 0.0000 0.3975 0.7500 1
Ga2 Ga 0.2264 0.0000 0.0000 1
Au1 Au 0.0000 0.2304 0.7500 1
```

Calculated values
magnetic moment = 10.5 μB/cell
DFT formation energy = 0.075 eV/atom

Entry 9:
Crystalline UZn2Ga2Au2 at its relaxed geometry, computed with PBE-GGA.

Cell and atoms, written as CIF:
```
data_UZn2Ga2Au2
_cell_length_a 4.3759
_cell_length_b 4.3759
_cell_length_c 23.5580
_cell_angle_alpha 90.00
_cell_angle_beta 90.00
_cell_angle_gamma 120.00
_symmetry_space_group_name_H-M 'R -3 m'
_symmetry_Int_Tables_number 166
_symmetry_space_group_name_Hall '-R 3 2"'
loop_
_atom_site_label
_atom_site_type_symbol
_atom_site_fract_x
_atom_site_fract_y
_atom_site_fract_z
_atom_site_occupancy
U1 U 0.0000 0.0000 0.0000 1
Zn1 Zn 0.0000 0.0000 0.1417 1
Ga1 Ga 0.0000 0.0000 0.2632 1
Au1 Au 0.0000 0.0000 0.4305 1
```

Calculated values
magnetic moment = 7.8 μB/cell
DFT formation energy = -0.142 eV/atom

Entry 10:
Crystalline VGa2Au2 at its relaxed geometry, computed with PBE-GGA.

Cell and atoms, written as CIF:
```
data_VGa2Au2
_cell_length_a 7.3069
_cell_length_b 7.3069
_cell_length_c 3.1544
_cell_angle_alpha 90.00
_cell_angle_beta 90.00
_cell_angle_gamma 90.00
_symmetry_space_group_name_H-M 'P 4/m b m'
_symmetry_Int_Tables_number 127
_symmetry_space_group_name_Hall '-P 4 2ab'
loop_
_atom_site_label
_atom_site_type_symbol
_atom_site_fract_x
_atom_site_fract_y
_atom_site_fract_z
_atom_site_occupancy
V1 V 0.0000 0.0000 0.0000 1
Ga1 Ga 0.1418 0.3582 0.0000 1
Au1 Au 0.1602 0.6602 0.5000 1
```

Calculated values
E above lowest polymorph = 0 meV/atom
magnetic moment = 1.7 μB/cell
DFT formation energy = 0.102 eV/atom

Entry 11:
Crystalline VGa2Au at its relaxed geometry, computed with PBE-GGA.

Cell and atoms, written as CIF:
```
data_VGa2Au
_cell_length_a 2.7790
_cell_length_b 2.7790
_cell_length_c 8.1096
_cell_angle_alpha 90.00
_cell_angle_beta 90.00
_cell_angle_gamma 90.00
_symmetry_space_group_name_H-M 'P 4/m m m'
_symmetry_Int_Tables_number 123
_symmetry_space_group_name_Hall '-P 4 2'
loop_
_atom_site_label
_atom_site_type_symbol
_atom_site_fract_x
_atom_site_fract_y
_atom_site_fract_z
_atom_site_occupancy
V1 V 0.0000 0.0000 0.0000 1
Ga1 Ga 0.5000 0.5000 0.2279 1
Au1 Au 0.0000 0.0000 0.5000 1
```

Calculated values
E above lowest polymorph = 44 meV/atom
magnetic moment = 0.0 μB/cell
DFT formation energy = -0.098 eV/atom

Entry 12:
Crystalline VGaAu2 at its relaxed geometry, computed with PBE-GGA.

Cell and atoms, written as CIF:
```
data_VGaAu2
_cell_length_a 6.4551
_cell_length_b 6.4551
_cell_length_c 6.4551
_cell_angle_alpha 90.00
_cell_angle_beta 90.00
_cell_angle_gamma 90.00
_symmetry_space_group_name_H-M 'F -4 3 m'
_symmetry_Int_Tables_number 216
_symmetry_space_group_name_Hall 'F -4 2 3'
loop_
_atom_site_label
_atom_site_type_symbol
_atom_site_fract_x
_atom_site_fract_y
_atom_site_fract_z
_atom_site_occupancy
V1 V 0.0000 0.0000 0.0000 1
Ga1 Ga 0.2500 0.2500 0.2500 1
Au1 Au 0.0000 0.0000 0.5000 1
Au2 Au 0.2500 0.2500 0.7500 1
```

Calculated values
magnetic moment = 9.4 μB/cell
DFT formation energy = 0.023 eV/atom